Entry 1:
VASP calculation (GGA-PBE) on a geometry-optimized CaRuSN2 structure.

Computed properties:
energy relative to the elements, uncorrected = -3.072 kcal/mol of atoms
N(E_F) = 2.28 states/eV/cell
relative energy among the computed polymorphs = 0 kJ/mol of formula units

Lattice parameters (Å, degrees): 3.8569 3.8569 5.1538 90.00 90.00 90.00
Closest atoms and distances in Å follow each position.
Space group P4/mmm (No. 123)
Unique sites:
Ca (0.0000, 0.0000, 0.0000) [1 per cell]  4 S 2.73
Ru (0.5000, 0.5000, 0.5000) [1 per cell]  4 N 1.93
S (0.5000, 0.5000, 0.0000) [1 per cell]  2 Ru 2.58, 4 Ca 2.73
N (0.0000, 0.5000, 0.5000) [2 per cell]  2 Ru 1.93

Entry 2:
VASP calculation (GGA-PBE) on a geometry-optimized ZnBiIr structure.

Computed properties:
formation energy from the elements = -0.047 eV per atom
N(E_F) = 4.84 states/eV/cell
relative energy among the computed polymorphs = 0 kJ/mol of formula units

Lattice parameters (Å, degrees): 4.0850 4.0850 14.0305 90.00 90.00 90.00
Closest atoms and distances in Å follow each position.
Space group I4/mmm (No. 139)
Unique sites:
Zn (0.0000, 0.5000, 0.0000) [4 per cell]  4 Ir 2.58
Bi (0.0000, 0.0000, 0.1801) [4 per cell]  5 Ir 2.92-3.04, 4 Zn 3.25
Ir (0.0000, 0.0000, 0.3880) [4 per cell]  4 Zn 2.58

Entry 3:
VASP calculation (GGA-PBE) on a geometry-optimized CsBeMo3 structure.

Computed properties:
formation energy from the elements = 3.486 eV per atom
N(E_F) = 5.51 states/eV/cell
relative energy among the computed polymorphs = 778 kJ/mol of formula units

Lattice parameters (Å, degrees): 4.8761 4.8761 4.8761 90.00 90.00 90.00
Closest atoms and distances in Å follow each position.
Space group Pm-3m (No. 221)
Unique sites:
Cs (0.0000, 0.0000, 0.0000) [1 per cell]  6 Mo 2.44
Be (0.5000, 0.5000, 0.5000) [1 per cell]  12 Mo 3.45
Mo (0.0000, 0.0000, 0.5000) [3 per cell]  2 Cs 2.44

Entry 4:
VASP calculation (GGA-PBE) on a geometry-optimized ZrWBr structure.

Computed properties:
energy relative to the elements, uncorrected = 28.749 kcal/mol of atoms
N(E_F) = 12.01 states/eV/cell
relative energy among the computed polymorphs = 249 kJ/mol of formula units

Lattice parameters (Å, degrees): 6.2751 6.2751 6.2751 90.00 90.00 90.00
Closest atoms and distances in Å follow each position.
Space group F-43m (No. 216)
Unique sites:
Zr (0.0000, 0.0000, 0.0000) [4 per cell]  4 Br 2.72
W (0.0000, 0.0000, 0.5000) [4 per cell]  4 Br 2.72
Br (0.2500, 0.2500, 0.7500) [4 per cell]  4 Zr 2.72, 4 W 2.72

Question: Among the records above, which one has the highest N(E_F)?
Answer: ZrWBr

Question: Which value of N(E_F) does entry 4 give?
Answer: 12.01 states/eV/cell